1.
A geometry-optimized Si2Ni3Sb2 structure, computed with PBE.

## Properties
**Calculated volume**: 15.8 Å³/atom
**Raw total energy**: -5.18 eV per atom

abc: 8.3164 8.3164 8.3164
angles: 27.84 27.84 27.84
Fractional coordinates of all 7 atoms:
Si 0.0000 0.0000 0.0000
Si 0.4999 0.4999 0.4999
Ni 0.1331 0.1331 0.1331
Ni 0.6430 0.6430 0.6430
Ni 0.8525 0.8525 0.8525
Sb 0.2535 0.2535 0.2535
Sb 0.7453 0.7453 0.7453

---

2.
A geometry-optimized BaAlTc structure, computed with PBE.

## Properties
**Calculated volume**: 25.1 Å³/atom
**Distance to the lowest polymorph of the same formula**: 0.000 eV/atom
**Raw total energy**: -4.59 eV per atom

abc: 4.7369 4.7369 4.7369
angles: 60.00 60.00 60.00
Fractional coordinates of all 3 atoms:
Ba 0.0000 0.0000 0.0000
Al 0.5000 0.5000 0.5000
Tc 0.7500 0.7500 0.7500

---

3.
A geometry-optimized HoEr6Hg structure, computed with PBE.

## Properties
**Calculated volume**: 28.9 Å³/atom
**Raw total energy**: -4.07 eV per atom

abc: 6.9800 6.9800 5.4879
angles: 90.00 90.00 120.00
Fractional coordinates of all 8 atoms:
Ho 0.0000 0.0000 0.0000
Er 0.0048 0.5024 0.0000
Er 0.3252 0.1626 0.5000
Er 0.4976 0.5024 0.0000
Er 0.4976 0.9952 0.0000
Er 0.8374 0.1626 0.5000
Er 0.8374 0.6748 0.5000
Hg 0.3333 0.6667 0.5000

---

4.
A geometry-optimized SrMg2Cd structure, computed with PBE.

## Properties
**Calculated volume**: 27.0 Å³/atom
**Raw total energy**: -1.54 eV per atom

abc: 5.3482 5.3482 5.3482
angles: 60.00 60.00 60.00
Fractional coordinates of all 4 atoms:
Sr 0.0000 0.0000 0.0000
Mg 0.5000 0.5000 0.5000
Mg 0.7500 0.7500 0.7500
Cd 0.2500 0.2500 0.2500

---

5.
A geometry-optimized SmGd2Cu4Si4 structure, computed with PBE.

## Properties
**Calculated volume**: 17.7 Å³/atom
**Raw total energy**: -5.23 eV per atom

abc: 12.1842 12.1842 12.1842
angles: 160.91 160.77 27.23
Fractional coordinates of all 11 atoms:
Sm 0.0000 0.0000 0.0000
Gd 0.3497 0.8497 0.5000
Gd 0.6503 0.1503 0.5000
Cu 0.0968 0.5968 0.5000
Cu 0.2500 0.2500 0.0000
Cu 0.7500 0.7500 0.0000
Cu 0.9032 0.4032 0.5000
Si 0.1944 0.6944 0.5000
Si 0.4495 0.4495 0.0000
Si 0.5505 0.5505 0.0000
Si 0.8056 0.3056 0.5000

---

6.
A geometry-optimized LaNd2Si4Pd4 structure, computed with PBE.

## Properties
**Calculated volume**: 20.0 Å³/atom
**Raw total energy**: -6.11 eV per atom

abc: 12.6008 12.6008 12.6008
angles: 160.87 160.39 27.53
Fractional coordinates of all 11 atoms:
La 0.0000 0.0000 0.0000
Nd 0.3527 0.8527 0.5000
Nd 0.6473 0.1473 0.5000
Si 0.1968 0.6968 0.5000
Si 0.4508 0.4508 0.0000
Si 0.5492 0.5492 0.0000
Si 0.8032 0.3032 0.5000
Pd 0.0980 0.5980 0.5000
Pd 0.2488 0.2488 0.0000
Pd 0.7512 0.7512 0.0000
Pd 0.9020 0.4020 0.5000

---

7.
A geometry-optimized RbLaZnS3 structure, computed with PBE.

## Properties
**Calculated volume**: 27.8 Å³/atom
**Raw total energy**: -4.58 eV per atom

abc: 9.4760 9.4760 8.5909
angles: 102.26 102.26 26.35
Fractional coordinates of all 12 atoms:
Rb 0.1413 0.1413 0.0729
Rb 0.8587 0.8587 0.9271
La 0.1634 0.1634 0.5681
La 0.8366 0.8366 0.4319
Zn 0.4709 0.4709 0.2514
Zn 0.5291 0.5291 0.7486
S 0.0000 0.0000 0.5000
S 0.3223 0.3223 0.6359
S 0.3444 0.3444 0.2128
S 0.5000 0.5000 0.0000
S 0.6556 0.6556 0.7872
S 0.6777 0.6777 0.3641

---

8.
A geometry-optimized PuMgAl structure, computed with PBE.

## Properties
**Calculated volume**: 26.5 Å³/atom
**Raw total energy**: -6.28 eV per atom

abc: 4.8273 4.8273 4.8273
angles: 60.00 60.00 60.00
Fractional coordinates of all 3 atoms:
Pu 0.0000 0.0000 0.0000
Mg 0.5000 0.5000 0.5000
Al 0.7500 0.7500 0.7500

---

9.
A geometry-optimized Ho11In9Co4 structure, computed with PBE.

## Properties
**Calculated volume**: 23.4 Å³/atom
**Raw total energy**: -4.75 eV per atom

abc: 12.9342 12.9342 3.6274
angles: 90.00 90.00 112.48
Fractional coordinates of all 24 atoms:
Ho 0.0000 0.0000 0.0000
Ho 0.0840 0.4182 0.0000
Ho 0.1605 0.8395 0.0000
Ho 0.3146 0.3146 0.0000
Ho 0.3749 0.6251 0.0000
Ho 0.4182 0.0840 0.0000
Ho 0.5818 0.9160 0.0000
Ho 0.6251 0.3749 0.0000
Ho 0.6854 0.6854 0.0000
Ho 0.8395 0.1605 0.0000
Ho 0.9160 0.5818 0.0000
In 0.0797 0.2209 0.5000
In 0.1580 0.6321 0.5000
In 0.2209 0.0797 0.5000
In 0.3679 0.8420 0.5000
In 0.5000 0.5000 0.5000
In 0.6321 0.1580 0.5000
In 0.7791 0.9203 0.5000
In 0.8420 0.3679 0.5000
In 0.9203 0.7791 0.5000
Co 0.2481 0.4504 0.5000
Co 0.4504 0.2481 0.5000
Co 0.5496 0.7519 0.5000
Co 0.7519 0.5496 0.5000

---

10.
A geometry-optimized SrPa structure, computed with PBE.

## Properties
**Calculated volume**: 40.0 Å³/atom
**Distance to the lowest polymorph of the same formula**: 2.118 eV/atom
**Raw total energy**: -2.73 eV per atom

abc: 4.8375 4.8375 4.8375
angles: 60.00 60.00 60.00
Fractional coordinates of all 2 atoms:
Sr 0.0000 0.0000 0.0000
Pa 0.2500 0.2500 0.2500

---

11.
A geometry-optimized NbNiAs structure, computed with PBE.

## Properties
**Calculated volume**: 14.4 Å³/atom
**Raw total energy**: -7.26 eV per atom

abc: 6.1874 6.1874 3.9181
angles: 90.00 90.00 120.00
Fractional coordinates of all 9 atoms:
Nb 0.0000 0.5841 0.0000
Nb 0.4159 0.4159 0.0000
Nb 0.5841 0.0000 0.0000
Ni 0.0000 0.2495 0.5000
Ni 0.2495 0.0000 0.5000
Ni 0.7505 0.7505 0.5000
As 0.0000 0.0000 0.0000
As 0.3333 0.6667 0.5000
As 0.6667 0.3333 0.5000

---

12.
A geometry-optimized K2TaCoH6 structure, computed with PBE.

## Properties
**Calculated volume**: 13.1 Å³/atom
**Raw total energy**: -3.90 eV per atom

abc: 6.5175 6.5175 6.5175
angles: 136.22 136.22 63.64
Fractional coordinates of all 10 atoms:
K 0.2500 0.7500 0.5000
K 0.7500 0.2500 0.5000
Ta 0.0000 0.0000 0.0000
Co 0.5000 0.5000 0.0000
H 0.1704 0.1704 0.0000
H 0.2736 0.2736 0.5472
H 0.2736 0.7264 0.0000
H 0.7264 0.2736 0.0000
H 0.7264 0.7264 0.4528
H 0.8296 0.8296 0.0000